# 1
4
Lattice="-4.0881 -3.5052 1.6039 0.6233 -3.1074 4.6397 -3.0475 1.1461 4.5794" Properties=species:S:1:pos:R:3 comment="AcCeMgSn, relaxed, DFT PBE-GGA" formation_energy_ev_per_atom=-0.282 pbc="T T T"
Mg -4.8842 -4.0999 8.1172
Ce 0.0000 0.0000 0.0000
Ac -3.2561 -2.7333 5.4115
Sn -1.6281 -1.3666 2.7057



# 2
16
Lattice="4.8931 0.0000 0.0000 0.0000 4.8931 0.0000 0.0000 0.0000 19.4399" Properties=species:S:1:pos:R:3 comment="Ac3NdSn12, relaxed, DFT PBE-GGA" formation_energy_ev_per_atom=-0.506 pbc="T T T"
Sn 2.4466 2.4466 14.6865
Sn 2.4466 2.4466 9.7200
Sn 0.0000 2.4466 12.2015
Sn 2.4466 2.4466 0.0000
Sn 2.4466 2.4466 4.7534
Sn 2.4466 0.0000 2.3067
Sn 0.0000 2.4466 7.2384
Sn 2.4466 0.0000 12.2015
Sn 2.4466 0.0000 17.1332
Sn 0.0000 2.4466 2.3067
Sn 2.4466 0.0000 7.2384
Sn 0.0000 2.4466 17.1332
Ac 0.0000 0.0000 14.6736
Ac 0.0000 0.0000 9.7200
Ac 0.0000 0.0000 4.7663
Nd 0.0000 0.0000 0.0000